Entry from Alexandria: a relaxed structure of Dy6Te3AsPt2 (PBE).

extended XYZ file:
```
12
Lattice="3.6053 -6.2707 0.0000 3.6053 6.2707 0.0000 -2.4386 0.0000 7.2384" Properties=species:S:1:pos:R:3 pbc="T T T"
Dy -0.0503 2.1362 5.6751
Dy 1.1350 0.0000 1.5546
Dy -0.0503 -2.1362 5.6751
Dy 4.8224 2.1362 1.5633
Dy 3.6370 0.0000 5.6838
Dy 4.8224 -2.1362 1.5633
Te -1.2193 0.0000 3.6192
Te 2.3860 2.0405 3.6192
Te 2.3860 -2.0405 3.6192
As 3.6053 0.0000 0.0000
Pt 3.6053 4.1692 0.0000
Pt 3.6053 -4.1692 0.0000
```

Values from the calculation:
Uncorrected formation energy (kJ/mol of formula units): -1532
Final energy (eV per atom): -5.80
Crystal system: monoclinic
ρ (g/cm³): 9.25